This record from Alexandria via LeMat-Bulk describes crystalline Ba2RhN at its relaxed geometry. The functional is GGA-PBE.

extended XYZ file:
```
4
Lattice="-2.891 -1.715 -1.874 3.244 -4.686 -0.716 -1.963 -2.117 4.965" Properties=species:S:1:pos:R:3 pbc="T T T"
Ba 1.622 -2.343 -0.358
Ba -0.981 -1.059 2.483
Rh -1.446 -0.857 -0.937
N 0.000 0.000 0.000
```

Properties
The value obtained for the uncorrected formation energy is -1.602 eV per formula unit. The energy is -21.12 eV for the cell shown.

This record from Alexandria via LeMat-Bulk describes crystalline Nb2In2Ru3 at its relaxed geometry. The functional is GGA-PBE.

extended XYZ file:
```
7
Lattice="-3.481 -1.961 2.043 4.146 -1.610 0.599 1.820 6.247 4.204" Properties=species:S:1:pos:R:3 pbc="T T T"
Nb -0.816 -1.231 2.360
Nb 3.300 3.906 4.487
In 0.344 1.718 2.243
In 2.140 0.957 4.603
Ru 0.000 0.000 0.000
Ru 0.689 3.449 4.527
Ru 1.794 -0.773 2.319
```

Properties
The energy is -54.76 eV for the cell shown.